Entry 1:
Here is a relaxed structure of Er2Zn3Pd8 from Alexandria via LeMat-Bulk. Energies are from GGA-PBE.

Summary:
The magnetic moment is 0.00 μB per formula unit. The formation enthalpy at 0 K is -0.579 eV per atom. For the theoretical density, the calculation gives 10.3 Mg/m³. The total energy is -4.770 eV/atom.

Cell and atoms, written as CIF:
```
data_Er2Zn3Pd8
_chemical_formula_sum 'Er4 Zn6 Pd16'
_symmetry_space_group_name_H-M 'C 1 2/m 1'
_symmetry_Int_Tables_number 12
_symmetry_space_group_name_Hall '-C 2y'
_cell_length_a 8.325
_cell_length_b 8.048
_cell_length_c 7.386
_cell_angle_alpha 90.00
_cell_angle_beta 116.18
_cell_angle_gamma 90.00
loop_
_atom_site_label
_atom_site_type_symbol
_atom_site_fract_x
_atom_site_fract_y
_atom_site_fract_z
_atom_site_occupancy
Er1 Er 0.122 0.000 0.367 1
Zn1 Zn 0.000 0.246 0.000 1
Zn2 Zn 0.000 0.500 0.500 1
Pd1 Pd 0.096 0.500 0.228 1
Pd2 Pd 0.142 0.241 0.708 1
Pd3 Pd 0.209 0.000 0.011 1
```

=====

Entry 2:
Here is a relaxed structure of Li2Th2Tl3 from Alexandria via LeMat-Bulk. Energies are from GGA-PBE.

Summary:
The magnetic moment is 0.00 μB per formula unit. The formation enthalpy at 0 K is -0.133 eV per atom. For the theoretical density, the calculation gives 10.3 Mg/m³. The total energy is -3.814 eV/atom.

Cell and atoms, written as CIF:
```
data_Li2Th2Tl3
_chemical_formula_sum 'Li4 Th4 Tl6'
_symmetry_space_group_name_H-M 'C m m m'
_symmetry_Int_Tables_number 65
_symmetry_space_group_name_Hall '-C 2 2'
_cell_length_a 4.276
_cell_length_b 25.162
_cell_length_c 3.283
_cell_angle_alpha 90.00
_cell_angle_beta 90.00
_cell_angle_gamma 90.00
loop_
_atom_site_label
_atom_site_type_symbol
_atom_site_fract_x
_atom_site_fract_y
_atom_site_fract_z
_atom_site_occupancy
Li1 Li 0.000 0.218 0.000 1
Th1 Th 0.000 0.082 0.000 1
Tl1 Tl 0.000 0.330 0.500 1
Tl2 Tl 0.000 0.500 0.500 1
```

=====

Entry 3:
Here is a relaxed structure of La3Pm4Nd5 from Alexandria via LeMat-Bulk. Energies are from GGA-PBE.

Summary:
The magnetic moment is 0.00 μB per formula unit. The formation enthalpy at 0 K is 0.015 eV per atom. For the offset from the most stable computed form, the calculation gives 0.000 eV per formula unit. For the theoretical density, the calculation gives 6.7 Mg/m³. The total energy is -4.787 eV/atom.

Cell and atoms, written as CIF:
```
data_La3Pm4Nd5
_chemical_formula_sum 'La3 Pm4 Nd5'
_symmetry_space_group_name_H-M 'P -1'
_symmetry_Int_Tables_number 2
_symmetry_space_group_name_Hall '-P 1'
_cell_length_a 6.394
_cell_length_b 7.362
_cell_length_c 9.053
_cell_angle_alpha 90.04
_cell_angle_beta 90.08
_cell_angle_gamma 90.08
loop_
_atom_site_label
_atom_site_type_symbol
_atom_site_fract_x
_atom_site_fract_y
_atom_site_fract_z
_atom_site_occupancy
La1 La 0.000 0.000 0.000 1
La2 La 0.166 0.749 0.667 1
Pm1 Pm 0.168 0.251 0.666 1
Pm2 Pm 0.333 0.501 0.333 1
Nd1 Nd 0.000 0.500 0.000 1
Nd2 Nd 0.334 0.000 0.334 1
Nd3 Nd 0.498 0.251 0.000 1
```

=====

Entry 4:
Here is a relaxed structure of Ca2IF3 from Alexandria via LeMat-Bulk. Energies are from GGA-PBE.

Summary:
The magnetic moment is 0.00 μB per formula unit. The uncorrected formation energy is -3.301 eV per atom. For the theoretical density, the calculation gives 3.7 Mg/m³. The total energy is -5.162 eV/atom.

Cell and atoms, written as CIF:
```
data_Ca2IF3
_chemical_formula_sum 'Ca8 I4 F12'
_symmetry_space_group_name_H-M 'C 1 2/m 1'
_symmetry_Int_Tables_number 12
_symmetry_space_group_name_Hall '-C 2y'
_cell_length_a 14.134
_cell_length_b 3.933
_cell_length_c 8.995
_cell_angle_alpha 90.00
_cell_angle_beta 109.02
_cell_angle_gamma 90.00
loop_
_atom_site_label
_atom_site_type_symbol
_atom_site_fract_x
_atom_site_fract_y
_atom_site_fract_z
_atom_site_occupancy
Ca1 Ca 0.016 0.000 0.228 1
Ca2 Ca 0.160 0.500 0.587 1
I1 I 0.141 0.500 0.057 1
F1 F 0.026 0.500 0.360 1
F2 F 0.117 0.000 0.679 1
F3 F 0.178 0.000 0.421 1
```

=====

Entry 5:
Here is a relaxed structure of AcGd2Al from Alexandria via LeMat-Bulk. Energies are from GGA-PBE.

Summary:
The magnetic moment is 15.34 μB per formula unit. The formation enthalpy at 0 K is -0.107 eV per atom. For the offset from the most stable computed form, the calculation gives 0.213 eV per formula unit. For the theoretical density, the calculation gives 7.7 Mg/m³. The total energy is -9.111 eV/atom.

Cell and atoms, written as CIF:
```
data_AcGd2Al
_chemical_formula_sum 'Ac1 Gd2 Al1'
_symmetry_space_group_name_H-M 'P 4/m m m'
_symmetry_Int_Tables_number 123
_symmetry_space_group_name_Hall '-P 4 2'
_cell_length_a 4.961
_cell_length_b 4.961
_cell_length_c 4.971
_cell_angle_alpha 90.00
_cell_angle_beta 90.00
_cell_angle_gamma 90.00
loop_
_atom_site_label
_atom_site_type_symbol
_atom_site_fract_x
_atom_site_fract_y
_atom_site_fract_z
_atom_site_occupancy
Ac1 Ac 0.000 0.000 0.000 1
Gd1 Gd 0.000 0.500 0.500 1
Al1 Al 0.500 0.500 0.000 1
```

=====

Entry 6:
Here is a relaxed structure of KBeN2 from Alexandria via LeMat-Bulk. Energies are from GGA-PBE.

Summary:
The magnetic moment is 1.05 μB per formula unit. The uncorrected formation energy is 0.343 eV per atom. For the theoretical density, the calculation gives 2.5 Mg/m³. The total energy is -5.026 eV/atom.

Cell and atoms, written as CIF:
```
data_KBeN2
_chemical_formula_sum 'K4 Be4 N8'
_symmetry_space_group_name_H-M 'I 41/a m d'
_symmetry_Int_Tables_number 141
_cell_length_a 4.362
_cell_length_b 4.362
_cell_length_c 10.544
_cell_angle_alpha 90.00
_cell_angle_beta 90.00
_cell_angle_gamma 90.00
loop_
_symmetry_equiv_pos_as_xyz
'x,y,z'
'-x,-y,-z'
'-y+1/4,x+3/4,z+1/4'
'y+1/4,-x+3/4,-z+1/4'
'-x+1/2,-y,z+1/2'
'x+1/2,y,-z+1/2'
'y+1/4,-x+1/4,z+3/4'
'-y+1/4,x+1/4,-z+3/4'
'x,-y,-z'
'-x,y,z'
'-y+1/4,-x+1/4,-z+3/4'
'y+1/4,x+1/4,z+3/4'
'-x+1/2,y,-z+1/2'
'x+1/2,-y,z+1/2'
'y+1/4,x+3/4,-z+1/4'
'-y+1/4,-x+3/4,z+1/4'
'x+1/2,y+1/2,z+1/2'
'-x+1/2,-y+1/2,-z+1/2'
'-y+3/4,x+1/4,z+3/4'
'y+3/4,-x+1/4,-z+3/4'
'-x,-y+1/2,z'
'x,y+1/2,-z'
'y+3/4,-x+3/4,z+1/4'
'-y+3/4,x+3/4,-z+1/4'
'x+1/2,-y+1/2,-z+1/2'
'-x+1/2,y+1/2,z+1/2'
'-y+3/4,-x+3/4,-z+1/4'
'y+3/4,x+3/4,z+1/4'
'-x,y+1/2,-z'
'x,-y+1/2,z'
'y+3/4,x+1/4,-z+3/4'
'-y+3/4,-x+1/4,z+3/4'
loop_
_atom_site_label
_atom_site_type_symbol
_atom_site_fract_x
_atom_site_fract_y
_atom_site_fract_z
_atom_site_occupancy
K1 K 0.000 0.250 0.375 1
Be1 Be 0.000 0.250 0.875 1
N1 N 0.000 0.000 0.000 1
```

=====

Entry 7:
Here is a relaxed structure of Zn2IrCl from Alexandria via LeMat-Bulk. Energies are from GGA-PBE.

Summary:
The magnetic moment is 0.00 μB per formula unit. The uncorrected formation energy is 0.042 eV per atom. For the offset from the most stable computed form, the calculation gives 1.227 eV per formula unit. For the theoretical density, the calculation gives 7.0 Mg/m³. The total energy is -3.272 eV/atom.

Cell and atoms, written as CIF:
```
data_Zn2IrCl
_chemical_formula_sum 'Zn2 Ir1 Cl1'
_symmetry_space_group_name_H-M 'P m m 2'
_symmetry_Int_Tables_number 25
_symmetry_space_group_name_Hall 'P 2 -2'
_cell_length_a 3.180
_cell_length_b 3.726
_cell_length_c 7.171
_cell_angle_alpha 90.00
_cell_angle_beta 90.00
_cell_angle_gamma 90.00
loop_
_atom_site_label
_atom_site_type_symbol
_atom_site_fract_x
_atom_site_fract_y
_atom_site_fract_z
_atom_site_occupancy
Zn1 Zn 0.000 0.000 0.000 1
Zn2 Zn 0.500 0.500 0.291 1
Ir1 Ir 0.500 0.500 0.955 1
Cl1 Cl 0.000 0.000 0.453 1
```

=====

Entry 8:
Here is a relaxed structure of CdCuC3 from Alexandria via LeMat-Bulk. Energies are from GGA-PBE.

Summary:
The magnetic moment is 0.00 μB per formula unit. The formation enthalpy at 0 K is 2.604 eV per atom. For the offset from the most stable computed form, the calculation gives 0.000 eV per formula unit. For the theoretical density, the calculation gives 5.7 Mg/m³. The total energy is -3.933 eV/atom.

Cell and atoms, written as CIF:
```
data_CdCuC3
_chemical_formula_sum 'Cd1 Cu1 C3'
_symmetry_space_group_name_H-M 'P m -3 m'
_symmetry_Int_Tables_number 221
_symmetry_space_group_name_Hall '-P 4 2 3'
_cell_length_a 3.944
_cell_length_b 3.944
_cell_length_c 3.944
_cell_angle_alpha 90.00
_cell_angle_beta 90.00
_cell_angle_gamma 90.00
loop_
_atom_site_label
_atom_site_type_symbol
_atom_site_fract_x
_atom_site_fract_y
_atom_site_fract_z
_atom_site_occupancy
Cd1 Cd 0.000 0.000 0.000 1
Cu1 Cu 0.500 0.500 0.500 1
C1 C 0.000 0.500 0.500 1
```

=====

Entry 9:
Here is a relaxed structure of Y2SeN from Alexandria via LeMat-Bulk. Energies are from GGA-PBE.

Summary:
The magnetic moment is 0.00 μB per formula unit. The uncorrected formation energy is -1.710 eV per atom. For the offset from the most stable computed form, the calculation gives 0.000 eV per formula unit. For the theoretical density, the calculation gives 5.9 Mg/m³. The total energy is -7.895 eV/atom.

Cell and atoms, written as CIF:
```
data_Y2SeN
_chemical_formula_sum 'Y4 Se2 N2'
_symmetry_space_group_name_H-M 'P 63/m m c'
_symmetry_Int_Tables_number 194
_symmetry_space_group_name_Hall '-P 6c 2c'
_cell_length_a 3.6739
_cell_length_b 3.6739
_cell_length_c 13.1296
_cell_angle_alpha 90.00
_cell_angle_beta 90.00
_cell_angle_gamma 120.00
loop_
_atom_site_label
_atom_site_type_symbol
_atom_site_fract_x
_atom_site_fract_y
_atom_site_fract_z
_atom_site_occupancy
Y1 Y 0.3333 0.6667 0.0989 1
Se1 Se 0.3333 0.6667 0.7500 1
N1 N 0.0000 0.0000 0.0000 1
```

=====

Entry 10:
Here is a relaxed structure of Tl2SiPt from Alexandria via LeMat-Bulk. Energies are from GGA-PBE.

Summary:
The magnetic moment is 0.00 μB per formula unit. The uncorrected formation energy is 0.407 eV per atom. For the theoretical density, the calculation gives 12.1 Mg/m³. The total energy is -3.642 eV/atom.

Cell and atoms, written as CIF:
```
data_Tl2SiPt
_chemical_formula_sum 'Tl2 Si1 Pt1'
_symmetry_space_group_name_H-M 'P m m m'
_symmetry_Int_Tables_number 47
_symmetry_space_group_name_Hall '-P 2 2'
_cell_length_a 3.986
_cell_length_b 4.194
_cell_length_c 5.178
_cell_angle_alpha 90.00
_cell_angle_beta 90.00
_cell_angle_gamma 90.00
loop_
_atom_site_label
_atom_site_type_symbol
_atom_site_fract_x
_atom_site_fract_y
_atom_site_fract_z
_atom_site_occupancy
Tl1 Tl 0.000 0.000 0.000 1
Tl2 Tl 0.500 0.000 0.500 1
Si1 Si 0.000 0.500 0.500 1
Pt1 Pt 0.500 0.500 0.000 1
```

=====

Entry 11:
Here is a relaxed structure of Y2MgP from Alexandria via LeMat-Bulk. Energies are from GGA-PBE.

Summary:
The magnetic moment is 0.00 μB per formula unit. The formation enthalpy at 0 K is -0.533 eV per atom. For the offset from the most stable computed form, the calculation gives 0.981 eV per formula unit. For the theoretical density, the calculation gives 4.0 Mg/m³. The total energy is -5.516 eV/atom.

Cell and atoms, written as CIF:
```
data_Y2MgP
_chemical_formula_sum 'Y4 Mg2 P2'
_symmetry_space_group_name_H-M 'I m m 2'
_symmetry_Int_Tables_number 44
_symmetry_space_group_name_Hall 'I 2 -2'
_cell_length_a 3.637
_cell_length_b 4.776
_cell_length_c 11.081
_cell_angle_alpha 90.00
_cell_angle_beta 90.00
_cell_angle_gamma 90.00
loop_
_atom_site_label
_atom_site_type_symbol
_atom_site_fract_x
_atom_site_fract_y
_atom_site_fract_z
_atom_site_occupancy
Y1 Y 0.000 0.000 0.000 1
Y2 Y 0.000 0.500 0.210 1
Mg1 Mg 0.000 0.500 0.808 1
P1 P 0.000 0.000 0.499 1
```

=====

Entry 12:
Here is a relaxed structure of Li2Si3Pt5 from Alexandria via LeMat-Bulk. Energies are from GGA-PBE.

Summary:
The magnetic moment is 0.00 μB per formula unit. The uncorrected formation energy is -0.746 eV per atom. For the theoretical density, the calculation gives 12.0 Mg/m³. The total energy is -5.776 eV/atom.

Cell and atoms, written as CIF:
```
data_Li2Si3Pt5
_chemical_formula_sum 'Li8 Si12 Pt20'
_symmetry_space_group_name_H-M 'C m c 21'
_symmetry_Int_Tables_number 36
_symmetry_space_group_name_Hall 'C 2c -2'
_cell_length_a 3.963
_cell_length_b 24.372
_cell_length_c 6.146
_cell_angle_alpha 90.00
_cell_angle_beta 90.00
_cell_angle_gamma 90.00
loop_
_atom_site_label
_atom_site_type_symbol
_atom_site_fract_x
_atom_site_fract_y
_atom_site_fract_z
_atom_site_occupancy
Li1 Li 0.000 0.016 0.000 1
Li2 Li 0.000 0.331 0.091 1
Si1 Si 0.000 0.107 0.773 1
Si2 Si 0.000 0.283 0.645 1
Si3 Si 0.000 0.458 0.788 1
Pt1 Pt 0.000 0.098 0.371 1
Pt2 Pt 0.000 0.201 0.891 1
Pt3 Pt 0.000 0.215 0.368 1
Pt4 Pt 0.000 0.379 0.540 1
Pt5 Pt 0.000 0.449 0.173 1
```

=====

The highest theoretical density belongs to which entry? Tl2SiPt

=====

The highest theoretical density belongs to which entry? Tl2SiPt

=====

The highest theoretical density belongs to which entry? Tl2SiPt

=====

What is the theoretical density in the tenth record? 12.1 Mg/m³